[1]
CsHfS4 | GGA-PBE | relaxed

Cell and atoms, written as CIF:
```
data_CsHfS4
_symmetry_space_group_name_H-M 'C 1 2/c 1'
_symmetry_Int_Tables_number 15
_cell_length_a 9.099
_cell_length_b 15.566
_cell_length_c 6.635
_cell_angle_alpha 90.00
_cell_angle_beta 120.04
_cell_angle_gamma 90.00
loop_
_symmetry_equiv_pos_as_xyz
'x,y,z'
'-x,-y,-z'
'-x,y,-z+1/2'
'x,-y,z+1/2'
'x+1/2,y+1/2,z'
'-x+1/2,-y+1/2,-z'
'-x+1/2,y+1/2,-z+1/2'
'x+1/2,-y+1/2,z+1/2'
loop_
_atom_site_label
_atom_site_fract_x
_atom_site_fract_y
_atom_site_fract_z
Cs1 0.000 0.117 0.250
Hf1 0.000 0.460 0.750
S1 0.094 0.302 0.714
S2 0.199 0.454 0.185
```

Calculated values
As for the volume: 813 Å³ per cell. The size of the total moment comes out at 0.170 μB/atom. As for the final energy: -134.8 eV for the cell shown.

***

[2]
LaPr3HoTh | GGA-PBE | relaxed

Cell and atoms, written as CIF:
```
data_LaPr3HoTh
_symmetry_space_group_name_H-M 'P 1 21/m 1'
_symmetry_Int_Tables_number 11
_cell_length_a 8.223
_cell_length_b 5.185
_cell_length_c 10.322
_cell_angle_alpha 90.00
_cell_angle_beta 108.16
_cell_angle_gamma 90.00
loop_
_symmetry_equiv_pos_as_xyz
'x,y,z'
'-x,-y,-z'
'-x,y+1/2,-z'
'x,-y+1/2,z'
loop_
_atom_site_label
_atom_site_fract_x
_atom_site_fract_y
_atom_site_fract_z
La1 0.182 0.250 0.296
Pr1 0.174 0.250 0.793
Pr2 0.176 0.750 0.045
Pr3 0.182 0.750 0.546
Ho1 0.498 0.750 0.872
Th1 0.500 0.250 0.622
```

Calculated values
The formation energy from the elements is 0.03 eV per atom. As for the volume: 418 Å³ per cell. The size of the total moment comes out at 0.000 μB/atom.

***

[3]
Li5InCu | GGA-PBE | relaxed

Cell and atoms, written as CIF:
```
data_Li5InCu
_symmetry_space_group_name_H-M 'C 1 2/c 1'
_symmetry_Int_Tables_number 15
_cell_length_a 10.068
_cell_length_b 5.461
_cell_length_c 9.468
_cell_angle_alpha 90.00
_cell_angle_beta 103.16
_cell_angle_gamma 90.00
loop_
_symmetry_equiv_pos_as_xyz
'x,y,z'
'-x,-y,-z'
'-x,y,-z+1/2'
'x,-y,z+1/2'
'x+1/2,y+1/2,z'
'-x+1/2,-y+1/2,-z'
'-x+1/2,y+1/2,-z+1/2'
'x+1/2,-y+1/2,z+1/2'
loop_
_atom_site_label
_atom_site_fract_x
_atom_site_fract_y
_atom_site_fract_z
Li1 0.000 0.231 0.250
Li2 0.138 0.054 0.532
Li3 0.225 0.429 0.178
In1 0.000 0.270 0.750
Cu1 0.000 0.500 0.000
```

Calculated values
The formation energy from the elements is -0.06 eV per atom. As for the volume: 507 Å³ per cell. The size of the total moment comes out at 0.000 μB/atom.

***

[4]
MnAg | GGA-PBE | relaxed

Cell and atoms, written as CIF:
```
data_MnAg
_symmetry_space_group_name_H-M 'C m c m'
_symmetry_Int_Tables_number 63
_symmetry_space_group_name_Hall '-C 2c 2'
_cell_length_a 2.854
_cell_length_b 10.512
_cell_length_c 4.520
_cell_angle_alpha 90.00
_cell_angle_beta 90.00
_cell_angle_gamma 90.00
loop_
_atom_site_label
_atom_site_fract_x
_atom_site_fract_y
_atom_site_fract_z
Mn1 0.000 0.166 0.250
Ag1 0.000 0.421 0.250
```

Calculated values
The formation energy from the elements is 0.39 eV per atom. As for the volume: 136 Å³ per cell. The size of the total moment comes out at 2.017 μB/atom.

***

N(E_F), respectively: 0.95, 9.59, 2.00, 1.31 states/eV/f.u..